First-principles (PBE) data for crystalline Pm3PrRh3 at its relaxed geometry, as listed in Alexandria via LeMat-Bulk.

Summary:
- DFT total energy: -6.464 eV/atom
- Formation energy: -0.59 eV/atom

Lattice parameters (Å, degrees): 8.7491 8.7491 16.7879 90.00 90.00 120.00
Space group R-3 (No. 148, hexagonal axes)
Symmetry-distinct sites (fractional):
Pm 0.0167 0.2749 0.0999 [18 per cell]
Pr 0.0000 0.0000 0.3253 [6 per cell]
Rh 0.0064 0.3748 0.9356 [18 per cell]



First-principles (PBE) data for crystalline PmPr3Rh at its relaxed geometry, as listed in Alexandria via LeMat-Bulk.

Summary:
- DFT total energy: -5.484 eV/atom
- Formation energy: -0.20 eV/atom

Lattice parameters (Å, degrees): 9.9187 10.2518 6.7924 90.00 111.62 90.00
Space group C2/m (No. 12)
Symmetry-distinct sites (fractional):
Pm 0.0668 0.0000 0.2707 [4 per cell]
Pr 0.0688 0.5000 0.2744 [4 per cell]
Pr 0.1832 0.2498 0.7303 [8 per cell]
Rh 0.2475 0.0000 0.0015 [4 per cell]



First-principles (PBE) data for crystalline PmPrRh2 at its relaxed geometry, as listed in Alexandria via LeMat-Bulk.

Summary:
- DFT total energy: -6.740 eV/atom
- Formation energy: -0.68 eV/atom

Lattice parameters (Å, degrees): 4.2677 3.9400 10.9946 90.00 90.00 90.00
Space group Amm2 (No. 38)
Symmetry-distinct sites (fractional):
Pm 0.0000 0.0000 0.0000 [2 per cell]
Pr 0.5000 0.0000 0.2825 [2 per cell]
Rh 0.0000 0.0000 0.7244 [2 per cell]
Rh 0.5000 0.0000 0.5547 [2 per cell]



First-principles (PBE) data for crystalline PmPr3Rh8 at its relaxed geometry, as listed in Alexandria via LeMat-Bulk.

Summary:
- DFT total energy: -7.138 eV/atom
- Formation energy: -0.65 eV/atom

Lattice parameters (Å, degrees): 5.4272 5.4272 26.6113 90.00 90.00 120.00
Space group R3m (No. 160, hexagonal axes)
Symmetry-distinct sites (fractional):
Pm 0.0000 0.0000 0.0000 [3 per cell]
Pr 0.0000 0.0000 0.1251 [3 per cell]
Pr 0.0000 0.0000 0.5002 [3 per cell]
Pr 0.0000 0.0000 0.6255 [3 per cell]
Rh 0.0000 0.0000 0.3128 [3 per cell]
Rh 0.0000 0.0000 0.8127 [3 per cell]
Rh 0.9998 0.4999 0.0623 [9 per cell]
Rh 0.0004 0.5002 0.5631 [9 per cell]



First-principles (PBE) data for crystalline Pm3PrRh3 at its relaxed geometry, as listed in Alexandria via LeMat-Bulk.

Summary:
- DFT total energy: -6.430 eV/atom
- Formation energy: -0.56 eV/atom

Lattice parameters (Å, degrees): 9.3386 10.5949 7.1624 90.00 90.62 90.00
Space group C2/m (No. 12)
Symmetry-distinct sites (fractional):
Pm 0.0000 0.1812 0.0000 [4 per cell]
Pm 0.0000 0.2438 0.5000 [4 per cell]
Pm 0.1717 0.5000 0.8735 [4 per cell]
Pr 0.2453 0.5000 0.3735 [4 per cell]
Rh 0.0608 0.0000 0.3015 [4 per cell]
Rh 0.2488 0.2475 0.2287 [8 per cell]



First-principles (PBE) data for crystalline Pm2PrRh at its relaxed geometry, as listed in Alexandria via LeMat-Bulk.

Summary:
- DFT total energy: -5.712 eV/atom
- Formation energy: -0.30 eV/atom

Lattice parameters (Å, degrees): 3.9523 3.9523 28.2334 90.00 90.00 120.00
Space group R3m (No. 160, hexagonal axes)
Symmetry-distinct sites (fractional):
Pm 0.0000 0.0000 0.0000 [3 per cell]
Pm 0.0000 0.0000 0.2168 [3 per cell]
Pr 0.0000 0.0000 0.4429 [3 per cell]
Rh 0.0000 0.0000 0.6082 [3 per cell]



First-principles (PBE) data for crystalline Pm5PrRh2 at its relaxed geometry, as listed in Alexandria via LeMat-Bulk.

Summary:
- DFT total energy: -5.741 eV/atom
- Formation energy: -0.34 eV/atom

Lattice parameters (Å, degrees): 4.1302 7.4159 16.1799 90.00 90.00 90.00
Space group Immm (No. 71)
Symmetry-distinct sites (fractional):
Pm 0.0000 0.0000 0.0000 [2 per cell]
Pm 0.0000 0.2463 0.3413 [8 per cell]
Pr 0.0000 0.5000 0.0000 [2 per cell]
Rh 0.0000 0.0000 0.1848 [4 per cell]



First-principles (PBE) data for crystalline PmPrRh2 at its relaxed geometry, as listed in Alexandria via LeMat-Bulk.

Summary:
- DFT total energy: -6.692 eV/atom
- Formation energy: -0.63 eV/atom

Lattice parameters (Å, degrees): 4.9869 4.9869 3.5787 90.00 90.00 90.00
Space group P4/mmm (No. 123)
Symmetry-distinct sites (fractional):
Pm 0.0000 0.0000 0.0000 [1 per cell]
Pr 0.5000 0.5000 0.0000 [1 per cell]
Rh 0.0000 0.5000 0.5000 [2 per cell]



First-principles (PBE) data for crystalline PmPr4Rh at its relaxed geometry, as listed in Alexandria via LeMat-Bulk.

Summary:
- DFT total energy: -5.378 eV/atom
- Formation energy: -0.17 eV/atom

Lattice parameters (Å, degrees): 17.7722 7.6876 6.1137 90.00 110.06 90.00
Space group C2/m (No. 12)
Symmetry-distinct sites (fractional):
Pm 0.1983 0.0000 0.1984 [4 per cell]
Pr 0.0000 0.2057 0.0000 [4 per cell]
Pr 0.1165 0.2481 0.6165 [8 per cell]
Pr 0.1719 0.5000 0.1720 [4 per cell]
Rh 0.0000 0.5000 0.2710 [4 per cell]



First-principles (PBE) data for crystalline Pm2PrRh at its relaxed geometry, as listed in Alexandria via LeMat-Bulk.

Summary:
- DFT total energy: -5.839 eV/atom
- Formation energy: -0.43 eV/atom

Lattice parameters (Å, degrees): 7.3374 9.9050 6.5033 90.00 90.00 90.00
Space group Pnma (No. 62)
Symmetry-distinct sites (fractional):
Pm 0.1754 0.0658 0.1688 [8 per cell]
Pr 0.0352 0.2500 0.6431 [4 per cell]
Rh 0.1199 0.7500 0.9267 [4 per cell]



First-principles (PBE) data for crystalline Pm12PrRh6 at its relaxed geometry, as listed in Alexandria via LeMat-Bulk.

Summary:
- DFT total energy: -5.965 eV/atom
- Formation energy: -0.39 eV/atom

Lattice parameters (Å, degrees): 13.6929 13.6929 10.1269 90.00 90.00 120.00
Space group R-3m (No. 166, hexagonal axes)
Symmetry-distinct sites (fractional):
Pm 0.0000 0.3776 0.0000 [18 per cell]
Pm 0.0867 0.1735 0.8542 [18 per cell]
Pr 0.0000 0.0000 0.5000 [3 per cell]
Rh 0.0411 0.5205 0.7641 [18 per cell]



First-principles (PBE) data for crystalline Pm6PrRh4 at its relaxed geometry, as listed in Alexandria via LeMat-Bulk.

Summary:
- DFT total energy: -6.170 eV/atom
- Formation energy: -0.47 eV/atom

Lattice parameters (Å, degrees): 7.3527 7.3527 11.0741 90.00 90.00 90.00
Space group I-42m (No. 121)
Symmetry-distinct sites (fractional):
Pm 0.0000 0.5000 0.0000 [4 per cell]
Pm 0.1729 0.1729 0.2841 [8 per cell]
Pr 0.0000 0.0000 0.0000 [2 per cell]
Rh 0.1797 0.1797 0.5634 [8 per cell]



First-principles (PBE) data for crystalline Pm4PrRh4 at its relaxed geometry, as listed in Alexandria via LeMat-Bulk.

Summary:
- DFT total energy: -6.479 eV/atom
- Formation energy: -0.57 eV/atom

Lattice parameters (Å, degrees): 9.0322 9.0322 5.7625 90.00 90.00 90.00
Space group P4_2/n (No. 86, origin choice 2)
Symmetry-distinct sites (fractional):
Pm 0.0675 0.6603 0.1676 [8 per cell]
Pr 0.2500 0.2500 0.2500 [2 per cell]
Rh 0.0331 0.6249 0.6615 [8 per cell]



First-principles (PBE) data for crystalline PmPr12Rh7 at its relaxed geometry, as listed in Alexandria via LeMat-Bulk.

Summary:
- DFT total energy: -6.127 eV/atom
- Formation energy: -0.45 eV/atom

Lattice parameters (Å, degrees): 14.6485 14.6485 10.1034 90.00 90.00 120.00
Space group R-3 (No. 148, hexagonal axes)
Symmetry-distinct sites (fractional):
Pm 0.0000 0.0000 0.0000 [3 per cell]
Pr 0.0282 0.5881 0.6635 [18 per cell]
Pr 0.0476 0.1753 0.3323 [18 per cell]
Rh 0.0000 0.0000 0.5000 [3 per cell]
Rh 0.0491 0.1835 0.8298 [18 per cell]



First-principles (PBE) data for crystalline Pm5Pr4Rh2 at its relaxed geometry, as listed in Alexandria via LeMat-Bulk.

Summary:
- DFT total energy: -5.400 eV/atom
- Formation energy: -0.17 eV/atom

Lattice parameters (Å, degrees): 9.1059 3.7383 10.2355 90.00 90.17 90.00
Space group P2/m (No. 10)
Symmetry-distinct sites (fractional):
Pm 0.0000 0.0000 0.0000 [1 per cell]
Pm 0.0396 0.0000 0.3307 [2 per cell]
Pm 0.3270 0.0000 0.8430 [2 per cell]
Pr 0.3014 0.5000 0.5306 [2 per cell]
Pr 0.3341 0.5000 0.1608 [2 per cell]
Rh 0.4603 0.0000 0.3520 [2 per cell]



First-principles (PBE) data for crystalline Pm3Pr2Rh4 at its relaxed geometry, as listed in Alexandria via LeMat-Bulk.

Summary:
- DFT total energy: -6.440 eV/atom
- Formation energy: -0.53 eV/atom

Lattice parameters (Å, degrees): 6.5753 17.7311 7.5197 90.00 90.00 90.00
Space group Cmce (No. 64)
Symmetry-distinct sites (fractional):
Pm 0.0000 0.0000 0.0000 [4 per cell]
Pm 0.2500 0.2296 0.2500 [8 per cell]
Pr 0.0000 0.0960 0.5857 [8 per cell]
Rh 0.0000 0.1646 0.9551 [8 per cell]
Rh 0.2500 0.0692 0.2500 [8 per cell]



First-principles (PBE) data for crystalline PmPrRh at its relaxed geometry, as listed in Alexandria via LeMat-Bulk.

Summary:
- DFT total energy: -6.074 eV/atom
- Formation energy: -0.45 eV/atom

Lattice parameters (Å, degrees): 7.0075 7.0075 7.0075 90.00 90.00 90.00
Space group F-43m (No. 216)
Symmetry-distinct sites (fractional):
Pm 0.0000 0.0000 0.0000 [4 per cell]
Pr 0.0000 0.0000 0.5000 [4 per cell]
Rh 0.2500 0.2500 0.7500 [4 per cell]



First-principles (PBE) data for crystalline Pm3Pr4Rh4 at its relaxed geometry, as listed in Alexandria via LeMat-Bulk.

Summary:
- DFT total energy: -6.166 eV/atom
- Formation energy: -0.46 eV/atom

Lattice parameters (Å, degrees): 3.8100 9.1782 16.5277 90.00 90.00 90.00
Space group Immm (No. 71)
Symmetry-distinct sites (fractional):
Pm 0.0000 0.0000 0.0000 [2 per cell]
Pm 0.0000 0.5000 0.0988 [4 per cell]
Pr 0.0000 0.3131 0.3355 [8 per cell]
Rh 0.0000 0.0000 0.2579 [4 per cell]
Rh 0.0000 0.2234 0.5000 [4 per cell]



First-principles (PBE) data for crystalline Pm8PrRh6 at its relaxed geometry, as listed in Alexandria via LeMat-Bulk.

Summary:
- DFT total energy: -6.371 eV/atom
- Formation energy: -0.58 eV/atom

Lattice parameters (Å, degrees): 8.4910 8.4910 18.5521 90.00 90.00 120.00
Space group R-3 (No. 148, hexagonal axes)
Symmetry-distinct sites (fractional):
Pm 0.0000 0.0000 0.1654 [6 per cell]
Pm 0.0015 0.3311 0.7214 [18 per cell]
Pr 0.0000 0.0000 0.5000 [3 per cell]
Rh 0.0003 0.3347 0.5568 [18 per cell]



First-principles (PBE) data for crystalline Pm2Pr5Rh5 at its relaxed geometry, as listed in Alexandria via LeMat-Bulk.

Summary:
- DFT total energy: -6.423 eV/atom
- Formation energy: -0.58 eV/atom

Lattice parameters (Å, degrees): 13.6240 4.0198 12.2996 90.00 105.68 90.00
Space group C2/m (No. 12)
Symmetry-distinct sites (fractional):
Pm 0.0381 0.0000 0.2850 [4 per cell]
Pr 0.0000 0.5000 0.0000 [2 per cell]
Pr 0.1563 0.5000 0.5490 [4 per cell]
Pr 0.2431 0.5000 0.8576 [4 per cell]
Rh 0.0000 0.0000 0.5000 [2 per cell]
Rh 0.1155 0.0000 0.9220 [4 per cell]
Rh 0.1949 0.5000 0.3084 [4 per cell]